Record 1
DFT (GGA-PBE) results for crystalline Ho5Te2Ir at its relaxed geometry.

a = 5.2846 Å, b = 16.1602 Å, c = 13.4034 Å
α = 90.00°, β = 90.00°, γ = 90.00°
Space group Cmcm (No. 63)
Asymmetric unit:
Ho 0.0000 0.0970 0.1130 (multiplicity 8)
Ho 0.0000 0.2615 0.7500 (multiplicity 4)
Ho 0.0000 0.3118 0.0723 (multiplicity 8)
Te 0.0000 0.0921 0.6153 (multiplicity 8)
Ir 0.0000 0.2201 0.2500 (multiplicity 4)

Results
Total moment (Bohr magnetons per cell): 0.0
DFT total energy (eV/atom): -5.335
Formation energy from raw total energies (eV/atom): -0.58
D(E_F) (states/eV/cell): 30.48
Volume (Å³/atom): 35.77

=====

Record 2
DFT (GGA-PBE) results for crystalline Ho2TeIr at its relaxed geometry.

a = 3.5923 Å, b = 3.5923 Å, c = 7.3443 Å
α = 90.00°, β = 90.00°, γ = 90.00°
Space group P4/mmm (No. 123)
Asymmetric unit:
Ho 0.0000 0.0000 0.2209 (multiplicity 2)
Te 0.5000 0.5000 0.5000 (multiplicity 1)
Ir 0.5000 0.5000 0.0000 (multiplicity 1)

Results
Total moment (Bohr magnetons per cell): 0.0
DFT total energy (eV/atom): -6.196
Formation energy from raw total energies (eV/atom): -0.91
D(E_F) (states/eV/cell): 2.01
Volume (Å³/atom): 23.69

=====

Record 3
DFT (GGA-PBE) results for crystalline Ho5Te4Ir at its relaxed geometry.

a = 9.7036 Å, b = 9.7036 Å, c = 6.0932 Å
α = 90.00°, β = 90.00°, γ = 90.00°
Space group I4/m (No. 87)
Asymmetric unit:
Ho 0.0000 0.0000 0.0000 (multiplicity 2)
Ho 0.0928 0.2591 0.5000 (multiplicity 8)
Te 0.0889 0.3105 0.0000 (multiplicity 8)
Ir 0.0000 0.0000 0.5000 (multiplicity 2)

Results
Total moment (Bohr magnetons per cell): 0.0
DFT total energy (eV/atom): -5.636
Formation energy from raw total energies (eV/atom): -1.20
D(E_F) (states/eV/cell): 18.62
Volume (Å³/atom): 28.69

=====

Record 4
DFT (GGA-PBE) results for crystalline Ho5Te4Ir at its relaxed geometry.

a = 4.2203 Å, b = 4.2203 Å, c = 31.2914 Å
α = 90.00°, β = 90.00°, γ = 90.00°
Space group I4/mmm (No. 139)
Asymmetric unit:
Ho 0.0000 0.0000 0.0000 (multiplicity 2)
Ho 0.0000 0.0000 0.2112 (multiplicity 4)
Ho 0.0000 0.0000 0.4166 (multiplicity 4)
Te 0.0000 0.0000 0.1063 (multiplicity 4)
Te 0.0000 0.0000 0.3097 (multiplicity 4)
Ir 0.0000 0.0000 0.5000 (multiplicity 2)

Results
Total moment (Bohr magnetons per cell): 0.0
DFT total energy (eV/atom): -5.607
Formation energy from raw total energies (eV/atom): -1.18
D(E_F) (states/eV/cell): 10.34
Volume (Å³/atom): 27.87

=====

Record 5
DFT (GGA-PBE) results for crystalline Ho5Te5Ir at its relaxed geometry.

a = 13.7432 Å, b = 6.1064 Å, c = 8.5303 Å
α = 90.00°, β = 109.01°, γ = 90.00°
Space group C2/m (No. 12)
Asymmetric unit:
Ho 0.0000 0.0000 0.0000 (multiplicity 2)
Ho 0.1477 0.5000 0.8497 (multiplicity 4)
Ho 0.1485 0.5000 0.3065 (multiplicity 4)
Te 0.0000 0.5000 0.5000 (multiplicity 2)
Te 0.1667 0.0000 0.8251 (multiplicity 4)
Te 0.1828 0.0000 0.3334 (multiplicity 4)
Ir 0.0000 0.5000 0.0000 (multiplicity 2)

Results
Total moment (Bohr magnetons per cell): 0.0
DFT total energy (eV/atom): -5.540
Formation energy from raw total energies (eV/atom): -1.23
D(E_F) (states/eV/cell): 15.89
Volume (Å³/atom): 30.76

=====

Record 6
DFT (GGA-PBE) results for crystalline Ho5Te2Ir at its relaxed geometry.

a = 8.1434 Å, b = 13.0933 Å, c = 4.1166 Å
α = 90.00°, β = 90.00°, γ = 90.00°
Space group Pbam (No. 55)
Asymmetric unit:
Ho 0.0000 0.0000 0.0000 (multiplicity 2)
Ho 0.1636 0.3155 0.0000 (multiplicity 4)
Ho 0.1696 0.5846 0.5000 (multiplicity 4)
Te 0.0400 0.8217 0.5000 (multiplicity 4)
Ir 0.0000 0.5000 0.0000 (multiplicity 2)

Results
Total moment (Bohr magnetons per cell): 0.0
DFT total energy (eV/atom): -5.650
Formation energy from raw total energies (eV/atom): -0.90
D(E_F) (states/eV/cell): 14.92
Volume (Å³/atom): 27.43

=====

Record 7
DFT (GGA-PBE) results for crystalline Ho3Te2Ir at its relaxed geometry.

a = 5.9828 Å, b = 14.6086 Å, c = 4.1636 Å
α = 90.00°, β = 90.00°, γ = 90.00°
Space group Cmmm (No. 65)
Asymmetric unit:
Ho 0.0000 0.0000 0.0000 (multiplicity 2)
Ho 0.0000 0.3773 0.5000 (multiplicity 4)
Te 0.0000 0.1602 0.5000 (multiplicity 4)
Ir 0.0000 0.5000 0.0000 (multiplicity 2)

Results
Total moment (Bohr magnetons per cell): 0.0
DFT total energy (eV/atom): -5.826
Formation energy from raw total energies (eV/atom): -1.01
D(E_F) (states/eV/cell): 12.04
Volume (Å³/atom): 30.32

=====

Record 8
DFT (GGA-PBE) results for crystalline Ho5TeIr2 at its relaxed geometry.

a = 7.7545 Å, b = 7.7545 Å, c = 13.4657 Å
α = 90.00°, β = 90.00°, γ = 90.00°
Space group I4/mcm (No. 140)
Asymmetric unit:
Ho 0.0000 0.0000 0.0000 (multiplicity 4)
Ho 0.1548 0.3452 0.1330 (multiplicity 16)
Te 0.0000 0.0000 0.2500 (multiplicity 4)
Ir 0.1415 0.3585 0.5000 (multiplicity 8)

Results
Total moment (Bohr magnetons per cell): 0.0
DFT total energy (eV/atom): -6.347
Formation energy from raw total energies (eV/atom): -0.88
D(E_F) (states/eV/cell): 27.75
Volume (Å³/atom): 25.30

=====

Record 9
DFT (GGA-PBE) results for crystalline Ho2TeIr at its relaxed geometry.

a = 4.1191 Å, b = 4.1191 Å, c = 21.5612 Å
α = 90.00°, β = 90.00°, γ = 120.00°
Space group R-3m (No. 166, hexagonal axes)
Asymmetric unit:
Ho 0.0000 0.0000 0.2357 (multiplicity 6)
Te 0.0000 0.0000 0.0000 (multiplicity 3)
Ir 0.0000 0.0000 0.5000 (multiplicity 3)

Results
Total moment (Bohr magnetons per cell): 0.0
DFT total energy (eV/atom): -6.315
Formation energy from raw total energies (eV/atom): -1.03
D(E_F) (states/eV/cell): 8.59
Volume (Å³/atom): 26.40

=====

Record 10
DFT (GGA-PBE) results for crystalline Ho2ThIr9 at its relaxed geometry.

a = 5.3263 Å, b = 5.3263 Å, c = 26.3513 Å
α = 90.00°, β = 90.00°, γ = 120.00°
Space group R-3m (No. 166, hexagonal axes)
Asymmetric unit:
Ho 0.0000 0.0000 0.1405 (multiplicity 6)
Th 0.0000 0.0000 0.0000 (multiplicity 3)
Ir 0.0000 0.0000 0.3331 (multiplicity 6)
Ir 0.0000 0.0000 0.5000 (multiplicity 3)
Ir 0.9999 0.5000 0.0830 (multiplicity 18)

Results
Total moment (Bohr magnetons per cell): 0.0
DFT total energy (eV/atom): -8.672
ΔE_f (meV/atom): -645
D(E_F) (states/eV/cell): 40.47
Volume (Å³/atom): 17.98

=====

Record 11
DFT (GGA-PBE) results for crystalline HoThIr at its relaxed geometry.

a = 3.6241 Å, b = 3.6241 Å, c = 11.2798 Å
α = 90.00°, β = 90.00°, γ = 90.00°
Space group I4mm (No. 107)
Asymmetric unit:
Ho 0.0000 0.0000 0.0000 (multiplicity 2)
Th 0.0000 0.0000 0.2875 (multiplicity 2)
Ir 0.0000 0.0000 0.6571 (multiplicity 2)

Results
Total moment (Bohr magnetons per cell): 0.0
DFT total energy (eV/atom): -7.458
ΔE_f (meV/atom): -505
D(E_F) (states/eV/cell): 8.65
Volume (Å³/atom): 24.69

=====

Record 12
DFT (GGA-PBE) results for crystalline HoThIr2 at its relaxed geometry.

a = 4.0676 Å, b = 4.0676 Å, c = 19.7894 Å
α = 90.00°, β = 90.00°, γ = 120.00°
Space group R-3m (No. 166, hexagonal axes)
Asymmetric unit:
Ho 0.0000 0.0000 0.0000 (multiplicity 3)
Th 0.0000 0.0000 0.5000 (multiplicity 3)
Ir 0.0000 0.0000 0.2512 (multiplicity 6)

Results
Total moment (Bohr magnetons per cell): 0.0
DFT total energy (eV/atom): -8.181
ΔE_f (meV/atom): -751
D(E_F) (states/eV/cell): 6.02
Volume (Å³/atom): 23.63

=====

> Number 4 is which compound?

Ho5Te4Ir